# 1
# Sr4CaSn4 PBE-GGA optimized geometry
data_Sr4CaSn4
_chemical_formula_sum 'Sr8 Ca2 Sn8'
_symmetry_space_group_name_H-M 'P 42/n'
_symmetry_Int_Tables_number 86
_cell_length_a 10.181
_cell_length_b 10.181
_cell_length_c 6.773
_cell_angle_alpha 90.00
_cell_angle_beta 90.00
_cell_angle_gamma 90.00
loop_
_symmetry_equiv_pos_as_xyz
'x,y,z'
'-x,-y,-z'
'-y,x+1/2,z+1/2'
'y,-x+1/2,-z+1/2'
'-x+1/2,-y+1/2,z'
'x+1/2,y+1/2,-z'
'y+1/2,-x,z+1/2'
'-y+1/2,x,-z+1/2'
loop_
_atom_site_label
_atom_site_type_symbol
_atom_site_fract_x
_atom_site_fract_y
_atom_site_fract_z
_atom_site_occupancy
Sr1 Sr 0.063 0.663 0.119 1
Ca1 Ca 0.250 0.250 0.250 1
Sn1 Sn 0.012 0.622 0.611 1
# final energy = -58.6 eV per cell
# density = 4.09 g/cm3
# DOS at the Fermi energy = 0.644 states/eV per atom
# ΔH_f (0 K) = -0.50 eV/atom



# 2
# KLiNp2Se4 PBE-GGA optimized geometry
data_KLiNp2Se4
_chemical_formula_sum 'K4 Li4 Np8 Se16'
_symmetry_space_group_name_H-M 'C m c m'
_symmetry_Int_Tables_number 63
_symmetry_space_group_name_Hall '-C 2c 2'
_cell_length_a 4.228
_cell_length_b 13.991
_cell_length_c 14.596
_cell_angle_alpha 90.00
_cell_angle_beta 90.00
_cell_angle_gamma 90.00
loop_
_atom_site_label
_atom_site_type_symbol
_atom_site_fract_x
_atom_site_fract_y
_atom_site_fract_z
_atom_site_occupancy
K1 K 0.000 0.110 0.250 1
Li1 Li 0.000 0.163 0.750 1
Np1 Np 0.000 0.368 0.060 1
Se1 Se 0.000 0.000 0.000 1
Se2 Se 0.000 0.264 0.609 1
Se3 Se 0.000 0.430 0.250 1
# ΔE_f (raw) = -9.8 eV per formula unit
# final energy = -210.7 eV per cell
# density = 6.43 g/cm3
# DOS at the Fermi energy = 2.945 states/eV per atom



# 3
# Sc2CrTc PBE-GGA optimized geometry
data_Sc2CrTc
_chemical_formula_sum 'Sc8 Cr4 Tc4'
_symmetry_space_group_name_H-M 'I -4 2 d'
_symmetry_Int_Tables_number 122
_symmetry_space_group_name_Hall 'I -4 2bw'
_cell_length_a 7.243
_cell_length_b 7.243
_cell_length_c 5.748
_cell_angle_alpha 90.00
_cell_angle_beta 90.00
_cell_angle_gamma 90.00
loop_
_atom_site_label
_atom_site_type_symbol
_atom_site_fract_x
_atom_site_fract_y
_atom_site_fract_z
_atom_site_occupancy
Sc1 Sc 0.240 0.250 0.125 1
Cr1 Cr 0.000 0.000 0.500 1
Tc1 Tc 0.000 0.000 0.000 1
# energy above the lowest structure with this stoichiometry = 582 meV/atom
# final energy = -122.0 eV per cell
# density = 5.28 g/cm3
# DOS at the Fermi energy = 1.412 states/eV per atom
# ΔH_f (0 K) = 0.54 eV/atom